Computed, not measured: a geometry-optimized K2TiOs3O12 structure at the GGA-PBE level of DFT.

a = 7.2307 Å, b = 7.2307 Å, c = 7.2307 Å
α = 60.08°, β = 60.08°, γ = 60.08°
With the nearest neighbours (Å) after each atom.
Fractional positions:
K 0.1229 0.1229 0.1229  6 O 3.15-3.20
K 0.8771 0.8771 0.8771  6 O 3.15-3.20
Ti 0.5000 0.5000 0.5000  6 O 1.96
Os 0.0000 0.5000 0.5000  6 O 1.89-1.93
Os 0.5000 0.0000 0.5000  6 O 1.89-1.93
Os 0.5000 0.5000 0.0000  6 O 1.89-1.93
O 0.1806 0.5648 0.5648  1 Os 1.89, 1 Ti 1.96
O 0.1854 0.1854 0.5706  2 Os 1.93
O 0.1854 0.5706 0.1854  2 Os 1.93
O 0.4294 0.8146 0.8146  2 Os 1.93
O 0.4352 0.4352 0.8194  1 Os 1.89, 1 Ti 1.96
O 0.4352 0.8194 0.4352  1 Os 1.89, 1 Ti 1.96
O 0.5648 0.1806 0.5648  1 Os 1.89, 1 Ti 1.96
O 0.5648 0.5648 0.1806  1 Os 1.89, 1 Ti 1.96
O 0.5706 0.1854 0.1854  2 Os 1.93
O 0.8146 0.4294 0.8146  2 Os 1.93
O 0.8146 0.8146 0.4294  2 Os 1.93
O 0.8194 0.4352 0.4352  1 Os 1.89, 1 Ti 1.96

Output
Crystal system: trigonal
Formation energy without anion corrections (kcal/mol of atoms): -34.0
Final energy (eV/atom): -7.2135
Total magnetization (μB/cell): 3.13

---

Computed, not measured: a geometry-optimized KTiOsO6 structure at the GGA-PBE level of DFT.

a = 7.2703 Å, b = 7.2703 Å, c = 7.2703 Å
α = 120.75°, β = 120.01°, γ = 89.34°
With the nearest neighbours (Å) after each atom.
Fractional positions:
K 0.3486 0.0986 0.2500  5 O 2.98-3.20
K 0.6514 0.9014 0.7500  5 O 2.98-3.20
Ti 0.0000 0.0000 0.5000  6 O 1.90-1.98
Ti 0.0000 0.5000 0.0000  6 O 1.90-1.98
Os 0.0000 0.5000 0.5000  6 O 1.87-1.94
Os 0.5000 0.5000 0.0000  6 O 1.87-1.94
O 0.0602 0.8102 0.2500  2 Ti 1.90
O 0.0612 0.4364 0.2564  1 Os 1.87, 1 Ti 1.98
O 0.0612 0.8048 0.6248  1 Os 1.87, 1 Ti 1.98
O 0.3152 0.5652 0.7500  2 Os 1.94
O 0.3200 0.1952 0.7564  1 Os 1.87, 1 Ti 1.98
O 0.3200 0.5636 0.1248  1 Os 1.87, 1 Ti 1.98
O 0.6800 0.4364 0.8752  1 Os 1.87, 1 Ti 1.98
O 0.6800 0.8048 0.2436  1 Os 1.87, 1 Ti 1.98
O 0.6848 0.4348 0.2500  2 Os 1.94
O 0.9388 0.1952 0.3752  1 Os 1.87, 1 Ti 1.98
O 0.9388 0.5636 0.7436  1 Os 1.87, 1 Ti 1.98
O 0.9398 0.1898 0.7500  2 Ti 1.90

Output
Crystal system: orthorhombic
Formation energy without anion corrections (kcal/mol of atoms): -41.0
Final energy (eV/atom): -7.3299
Total magnetization (μB/cell): 2.01

---

Computed, not measured: a geometry-optimized KTl3Os2O8 structure at the GGA-PBE level of DFT.

a = 6.3566 Å, b = 6.3566 Å, c = 8.2382 Å
α = 90.00°, β = 90.00°, γ = 120.00°
With the nearest neighbours (Å) after each atom.
Fractional positions:
K 0.0000 0.0000 0.0000  6 O 2.71
Tl 0.0000 0.0000 0.5000  6 O 3.00
Tl 0.3333 0.6667 0.1761  1 O 2.46
Tl 0.6667 0.3333 0.8239  1 O 2.46
Os 0.3333 0.6667 0.6942  4 O 1.80-1.82
Os 0.6667 0.3333 0.3058  4 O 1.80-1.82
O 0.1797 0.3594 0.7744  1 Os 1.82
O 0.1797 0.8203 0.7744  1 Os 1.82
O 0.3333 0.6667 0.4752  1 Os 1.80
O 0.3594 0.1797 0.2256  1 Os 1.82
O 0.6406 0.8203 0.7744  1 Os 1.82
O 0.6667 0.3333 0.5248  1 Os 1.80
O 0.8203 0.1797 0.2256  1 Os 1.82
O 0.8203 0.6406 0.2256  1 Os 1.82

Output
Crystal system: trigonal
Formation energy without anion corrections (kcal/mol of atoms): -22.0
Final energy (eV/atom): -5.9776
Total magnetization (μB/cell): 4.01

---

Computed, not measured: a geometry-optimized KTlOs2O8 structure at the GGA-PBE level of DFT.

a = 6.2859 Å, b = 6.2859 Å, c = 8.3206 Å
α = 90.00°, β = 90.00°, γ = 120.00°
With the nearest neighbours (Å) after each atom.
Fractional positions:
K 0.0000 0.0000 0.0000  6 O 2.87
Tl 0.0000 0.0000 0.5000  6 O 2.83
Os 0.3333 0.6667 0.8150  4 O 1.76-1.77
Os 0.6667 0.3333 0.1850  4 O 1.76-1.77
O 0.1781 0.3587 0.7470  1 Os 1.77
O 0.1806 0.8219 0.7470  1 Os 1.77
O 0.3333 0.6667 0.0264  1 Os 1.76
O 0.3587 0.1806 0.2530  1 Os 1.77
O 0.6413 0.8194 0.7470  1 Os 1.77
O 0.6667 0.3333 0.9736  1 Os 1.76
O 0.8194 0.1781 0.2530  1 Os 1.77
O 0.8219 0.6413 0.2530  1 Os 1.77

Output
Crystal system: trigonal
Formation energy without anion corrections (kcal/mol of atoms): -25.0
Final energy (eV/atom): -6.5498
Total magnetization (μB/cell): 2.03

---

Computed, not measured: a geometry-optimized KTl2Os2O7 structure at the GGA-PBE level of DFT.

a = 12.1761 Å, b = 12.1761 Å, c = 12.1761 Å
α = 161.69°, β = 161.69°, γ = 26.00°
With the nearest neighbours (Å) after each atom.
Fractional positions:
K 0.0000 0.0000 0.0000  12 O 2.74-2.79
Tl 0.1899 0.1899 0.0000  4 O 2.80
Tl 0.8101 0.8101 0.0000  4 O 2.80
Os 0.4148 0.4148 0.0000  6 O 1.90-2.02
Os 0.5852 0.5852 0.0000  6 O 1.90-2.02
O 0.0846 0.5846 0.5000  2 Os 1.94
O 0.3346 0.3346 0.0000  1 Os 1.90
O 0.4154 0.9154 0.5000  2 Os 1.94
O 0.5000 0.5000 0.0000  2 Os 2.02
O 0.5846 0.0846 0.5000  2 Os 1.94
O 0.6654 0.6654 0.0000  1 Os 1.90
O 0.9154 0.4154 0.5000  2 Os 1.94

Output
Crystal system: tetragonal
Formation energy without anion corrections (kcal/mol of atoms): -23.1
Final energy (eV/atom): -6.2519
Total magnetization (μB/cell): 1.70

---

Computed, not measured: a geometry-optimized K3Tl3OsO8 structure at the GGA-PBE level of DFT.

a = 7.0547 Å, b = 7.0547 Å, c = 7.4056 Å
α = 118.27°, β = 118.27°, γ = 59.68°
With the nearest neighbours (Å) after each atom.
Fractional positions:
K 0.0000 0.0000 0.0000  6 O 2.74
K 0.0000 0.5000 0.0000  6 O 2.74-2.77
K 0.5000 0.0000 0.0000  6 O 2.74-2.77
Tl 0.0000 0.5000 0.5000  6 O 2.35-2.53
Tl 0.5000 0.0000 0.5000  6 O 2.35-2.53
Tl 0.5000 0.5000 0.5000  6 O 2.42-2.50
Os 0.0000 0.0000 0.5000  6 O 1.95
O 0.1903 0.1903 0.6748  1 Os 1.95
O 0.1922 0.7918 0.6750  1 Os 1.95
O 0.2082 0.8078 0.3250  1 Os 1.95
O 0.2638 0.2638 0.3013  3 Tl 2.35-2.42
O 0.7362 0.7362 0.6987  3 Tl 2.35-2.42
O 0.7918 0.1922 0.6750  1 Os 1.95
O 0.8078 0.2082 0.3250  1 Os 1.95
O 0.8097 0.8097 0.3252  1 Os 1.95

Output
Crystal system: monoclinic
Formation energy without anion corrections (kcal/mol of atoms): -24.9
Final energy (eV/atom): -5.1664
Total magnetization (μB/cell): 0.00